Entry from the Alexandria database: a relaxed Mg2AlCo crystal (PBEsol).

Results
calculated formation energy	0.087	eV/atom
crystal system	tetragonal
total DFT energy (no corrections)	-14.914	eV for the cell shown
DOS(E_F)	2.80	states/eV/cell

Cell lengths 3.8593, 3.8689, 4.1400 Å; angles 90.00, 90.00, 90.00 degrees
Last column: nearest neighbours and their distance in Å.
Element x y z (fractional)
Mg  0.5000  0.5000  0.0000  4 Mg 2.73, 4 Co 2.83, 4 Al 2.83
Al  0.5000  0.0000  0.5000  4 Co 2.73, 8 Mg 2.83
Mg  0.0000  0.0000  0.0000  4 Mg 2.73, 4 Al 2.83, 4 Co 2.83
Co  0.0000  0.5000  0.5000  4 Al 2.73, 8 Mg 2.83